Density functional theory data (PBE-GGA) for a geometry-optimized CaTaRu structure.

```
data_CaTaRu
_space_group_name_H-M_alt 'P -1'
_space_group_IT_number 2
_space_group_name_Hall '-P 1'
_cell_length_a 3.242
_cell_length_b 5.112
_cell_length_c 7.977
_cell_angle_alpha 101.93
_cell_angle_beta 99.55
_cell_angle_gamma 90.07
loop_
_atom_site_label
_atom_site_type_symbol
_atom_site_fract_x
_atom_site_fract_y
_atom_site_fract_z
Ca1 Ca 0.114 0.287 0.135
Ta1 Ta 0.249 0.744 0.501
Ru1 Ru 0.348 0.167 0.734
```

Output
ΔE_f = 0.0274 eV per atom
energy above the lowest structure with this stoichiometry = 0.1618 eV/atom
raw total energy = -7.68 eV/atom

=====

Density functional theory data (PBE-GGA) for a geometry-optimized CaTa4Ru structure.

```
data_CaTa4Ru
_space_group_name_H-M_alt 'F -4 3 m'
_space_group_IT_number 216
_space_group_name_Hall 'F -4 2 3'
_cell_length_a 7.797
_cell_length_b 7.797
_cell_length_c 7.797
_cell_angle_alpha 90.00
_cell_angle_beta 90.00
_cell_angle_gamma 90.00
loop_
_atom_site_label
_atom_site_type_symbol
_atom_site_fract_x
_atom_site_fract_y
_atom_site_fract_z
Ca1 Ca 0.000 0.000 0.000
Ta1 Ta 0.125 0.125 0.375
Ru1 Ru 0.250 0.250 0.750
```

Output
ΔE_f = 0.4990 eV per atom
raw total energy = -9.28 eV/atom